This record from Alexandria via LeMat-Bulk describes a geometry-optimized AcCeTeSe structure. The functional is PBE.

## Properties
**Size of the total moment**: 1.8 μB/f.u.
**E_form (uncorrected)**: -1.305 eV/atom
**Space-group type**: No. 129
**E above lowest polymorph**: 90 meV per atom

abc: 5.043 5.043 10.852
angles: 90.00 90.00 90.00
Fractional positions:
Ac1 0.250 0.250 0.153
Ac2 0.750 0.750 0.847
Ce1 0.250 0.750 0.500
Ce2 0.750 0.250 0.500
Te1 0.250 0.250 0.691
Te2 0.750 0.750 0.309
Se1 0.250 0.750 0.000
Se2 0.750 0.250 0.000



This record from Alexandria via LeMat-Bulk describes a geometry-optimized Rb2TlHgSb structure. The functional is PBE.

## Properties
**Size of the total moment**: 0.0 μB/f.u.
**E_form (uncorrected)**: 0.120 eV/atom
**Space-group type**: No. 123
**E above lowest polymorph**: 216 meV per atom

abc: 6.504 6.504 5.692
angles: 90.00 90.00 90.00
Fractional positions:
Rb1 0.000 0.500 0.000
Rb2 0.500 0.000 0.000
Tl1 0.000 0.000 0.500
Hg1 0.000 0.000 0.000
Sb1 0.500 0.500 0.500



This record from Alexandria via LeMat-Bulk describes a geometry-optimized NiHOs structure. The functional is PBE.

## Properties
**Size of the total moment**: 0.0 μB/f.u.
**Space-group type**: No. 8
**E above lowest polymorph**: 114 meV per atom

abc: 5.154 5.154 4.233
angles: 94.33 94.33 30.33
Fractional positions:
Ni1 0.000 0.000 0.000
Ni2 0.582 0.582 0.515
H1 0.129 0.129 0.292
H2 0.623 0.623 0.910
Os1 0.265 0.265 0.951
Os2 0.853 0.853 0.472



This record from Alexandria via LeMat-Bulk describes a geometry-optimized AcSn2Hg structure. The functional is PBE.

## Properties
**E_form**: -0.210 eV/atom
**Size of the total moment**: 0.0 μB/f.u.
**Space-group type**: No. 225
**E above lowest polymorph**: 265 meV per atom

abc: 5.544 5.544 5.544
angles: 60.00 60.00 60.00
Fractional positions:
Ac1 0.000 0.000 0.000
Sn1 0.250 0.250 0.250
Sn2 0.750 0.750 0.750
Hg1 0.500 0.500 0.500



This record from Alexandria via LeMat-Bulk describes a geometry-optimized Ac3AgN structure. The functional is PBE.

## Properties
**Size of the total moment**: 0.0 μB/f.u.
**E_form (uncorrected)**: -0.449 eV/atom
**Space-group type**: No. 12
**E above lowest polymorph**: 32 meV per atom

abc: 8.222 8.222 5.245
angles: 90.49 90.49 74.77
Fractional positions:
Ac1 0.106 0.106 0.266
Ac2 0.182 0.584 0.261
Ac3 0.416 0.818 0.739
Ac4 0.584 0.182 0.261
Ac5 0.818 0.416 0.739
Ac6 0.894 0.894 0.734
Ag1 0.288 0.288 0.738
Ag2 0.712 0.712 0.262
N1 0.163 0.837 0.500
N2 0.837 0.163 0.500



This record from Alexandria via LeMat-Bulk describes a geometry-optimized Pm2Ni4As3Rh structure. The functional is PBE.

## Properties
**E_form**: -0.717 eV/atom
**Size of the total moment**: 0.0 μB/f.u.
**Space-group type**: No. 115

abc: 4.063 4.063 9.999
angles: 90.00 90.00 90.00
Fractional positions:
Pm1 0.000 0.500 0.250
Pm2 0.500 0.000 0.750
Ni1 0.000 0.000 0.000
Ni2 0.000 0.500 0.640
Ni3 0.500 0.000 0.360
Ni4 0.500 0.500 0.000
As1 0.000 0.500 0.872
As2 0.500 0.000 0.128
As3 0.500 0.500 0.500
Rh1 0.000 0.000 0.500



Q: Among the records above, which one has the highest size of the total moment?
A: AcCeTeSe